# 1
## SbTe2Pt (GGA-PBE)

Data for crystalline SbTe2Pt at its relaxed geometry.

Values from the calculation:
The calculation puts the energy relative to the elements, uncorrected at 387 meV per atom. Its total magnetization is 0.000 μB per atom. As for the symmetry: I-4m2, No. 119. As for the theoretical density: 9.56 g/cm3.

Cell: 6.3071 6.3071 6.3071 Å, 140.81 140.81 56.62°
Sites, in units of the cell vectors:
Sb1 0.0000 0.0000 0.0000
Te1 0.2500 0.7500 0.5000
Te2 0.5000 0.5000 0.0000
Pt1 0.7500 0.2500 0.5000

---

# 2
## CrInCu2 (GGA-PBE)

Data for crystalline CrInCu2 at its relaxed geometry.

Values from the calculation:
Its total magnetization is 0.857 μB per atom. As for the symmetry: C2/m, No. 12. As for the theoretical density: 7.85 g/cm3. The energy of formation is 0.2775 eV/atom.

Cell: 4.6633 4.6633 4.8037 Å, 101.16 101.16 37.47°
Sites, in units of the cell vectors:
Cr1 0.0000 0.0000 0.0000
In1 0.5000 0.5000 0.5000
Cu1 0.2561 0.2561 0.7805
Cu2 0.7439 0.7439 0.2195

---

# 3
## BeCuAg2 (GGA-PBE)

Data for crystalline BeCuAg2 at its relaxed geometry.

Values from the calculation:
Its total magnetization is 0.000 μB per atom. As for the symmetry: P4/mmm, No. 123. As for the theoretical density: 8.48 g/cm3. The energy of formation is 0.1899 eV/atom.

Cell: 4.2960 4.2960 3.0585 Å, 90.00 90.00 90.00°
Sites, in units of the cell vectors:
Be1 0.0000 0.0000 0.0000
Cu1 0.5000 0.5000 0.0000
Ag1 0.0000 0.5000 0.5000
Ag2 0.5000 0.0000 0.5000

---

# 4
## AcAlNi3Ge (GGA-PBE)

Data for crystalline AcAlNi3Ge at its relaxed geometry.

Values from the calculation:
Its total magnetization is 0.000 μB per atom. As for the symmetry: Cmcm, No. 63. As for the theoretical density: 7.62 g/cm3. The energy of formation is -0.3391 eV/atom.

Cell: 6.8172 6.8172 5.7292 Å, 90.00 90.00 124.68°
Sites, in units of the cell vectors:
Ac1 0.2249 0.7751 0.7500
Ac2 0.7751 0.2249 0.2500
Al1 0.4971 0.5029 0.7500
Al2 0.5029 0.4971 0.2500
Ni1 0.2018 0.2018 0.0000
Ni2 0.2018 0.2018 0.5000
Ni3 0.3097 0.6903 0.2500
Ni4 0.6903 0.3097 0.7500
Ni5 0.7982 0.7982 0.0000
Ni6 0.7982 0.7982 0.5000
Ge1 0.1158 0.8842 0.2500
Ge2 0.8842 0.1158 0.7500

---

# 5
## Rb2CaUS4 (GGA-PBE)

Data for crystalline Rb2CaUS4 at its relaxed geometry.

Values from the calculation:
The calculation puts the energy relative to the elements, uncorrected at -1565 meV per atom. Its total magnetization is 0.250 μB per atom. As for the symmetry: P2/m, No. 10. As for the theoretical density: 4.21 g/cm3.

Cell: 7.1675 4.1549 8.0059 Å, 90.00 107.23 90.00°
Sites, in units of the cell vectors:
Rb1 0.0000 0.0000 0.0000
Rb2 0.5000 0.5000 0.0000
Ca1 0.0000 0.5000 0.5000
U1 0.5000 0.0000 0.5000
S1 0.2489 0.0000 0.6912
S2 0.2826 0.5000 0.3091
S3 0.7174 0.5000 0.6909
S4 0.7511 0.0000 0.3088

---

# 6
## CeMoS2 (GGA-PBE)

Data for crystalline CeMoS2 at its relaxed geometry.

Values from the calculation:
The calculation puts the energy relative to the elements, uncorrected at -525 meV per atom. For the energy above the most stable polymorph in this dataset, the calculation gives 9.62 kcal/mol of atoms. Its total magnetization is 0.063 μB per atom. As for the symmetry: R-3m, No. 166. As for the theoretical density: 6.45 g/cm3.

Cell: 9.1689 9.1689 9.1689 Å, 19.80 19.80 19.80°
Sites, in units of the cell vectors:
Ce1 0.0000 0.0000 0.0000
Mo1 0.5000 0.5000 0.5000
S1 0.1058 0.1058 0.1058
S2 0.8942 0.8942 0.8942

---

# 7
## Ac2GaSi2 (GGA-PBE)

Data for crystalline Ac2GaSi2 at its relaxed geometry.

Values from the calculation:
The calculation puts the energy relative to the elements, uncorrected at -478 meV per atom. For the energy above the most stable polymorph in this dataset, the calculation gives 2.43 kcal/mol of atoms. Its total magnetization is 0.000 μB per atom. As for the symmetry: Amm2, No. 38. As for the theoretical density: 7.34 g/cm3.

Cell: 4.3939 7.3279 7.3279 Å, 33.76 90.00 90.00°
Sites, in units of the cell vectors:
Ac1 0.0000 0.0000 0.0000
Ac2 0.0000 0.2418 0.2418
Ga1 0.5000 0.8217 0.8217
Si1 0.5000 0.4246 0.4246
Si2 0.5000 0.6152 0.6152

---

# 8
## La2RePb2 (GGA-PBE)

Data for crystalline La2RePb2 at its relaxed geometry.

Values from the calculation:
For the energy above the most stable polymorph in this dataset, the calculation gives 0.00 kcal/mol of atoms. Its total magnetization is 0.087 μB per atom. As for the symmetry: P4/mbm, No. 127. As for the theoretical density: 10.38 g/cm3. The energy of formation is 0.0897 eV/atom.

Cell: 7.5913 7.5913 4.8755 Å, 90.00 90.00 90.00°
Sites, in units of the cell vectors:
La1 0.1735 0.3265 0.0000
La2 0.3265 0.8265 0.0000
La3 0.6735 0.1735 0.0000
La4 0.8265 0.6735 0.0000
Re1 0.0000 0.0000 0.5000
Re2 0.5000 0.5000 0.5000
Pb1 0.1420 0.6420 0.5000
Pb2 0.3580 0.1420 0.5000
Pb3 0.6420 0.8580 0.5000
Pb4 0.8580 0.3580 0.5000